The following is a DFT calculation (PBE-GGA) of a relaxed structure of Pm4Er3Ge4.

a = 3.579 Å, b = 8.944 Å, c = 10.083 Å
α = 116.33°, β = 100.22°, γ = 90.00°
Element x y z (fractional)
Pm 0.332 0.157 0.665
Pm 0.668 0.493 0.335
Pm 0.668 0.843 0.335
Pm 0.332 0.507 0.665
Er 0.092 0.092 0.183
Er 0.908 0.908 0.817
Er 0.000 0.500 0.000
Ge 0.279 0.779 0.558
Ge 0.721 0.221 0.442
Ge 0.500 0.777 0.000
Ge 0.500 0.223 0.000

Summary:
DFT formation energy   -601 meV per atom
Spin magnetization   0.000 μB/atom

=====

The following is a DFT calculation (PBE-GGA) of a relaxed structure of PmEr2Ge.

a = 4.128 Å, b = 6.372 Å, c = 9.058 Å
α = 90.00°, β = 90.00°, γ = 108.90°
Each line ends with the local moment (μB).
Element x y z (fractional)
Pm 0.936 0.871 0.250  0.14
Pm 0.064 0.129 0.750  0.14
Er 0.357 0.713 0.556  0.19
Er 0.643 0.287 0.444  0.19
Er 0.357 0.713 0.944  0.19
Er 0.643 0.287 0.056  0.19
Ge 0.753 0.507 0.750  0.00
Ge 0.247 0.493 0.250  0.00

Summary:
E above lowest polymorph   0.000 eV/atom
DFT formation energy   -450 meV per atom
Spin magnetization   0.199 μB/atom

=====

The following is a DFT calculation (PBE-GGA) of a relaxed structure of Pm5ErGe4.

a = 5.048 Å, b = 6.982 Å, c = 10.734 Å
α = 129.76°, β = 103.60°, γ = 90.00°
Element x y z (fractional)
Pm 0.835 0.676 0.669
Pm 0.836 0.168 0.671
Pm 0.164 0.832 0.329
Pm 0.500 0.500 0.000
Pm 0.165 0.324 0.331
Er 0.500 0.000 0.000
Ge 0.324 0.896 0.647
Ge 0.991 0.740 0.982
Ge 0.676 0.104 0.353
Ge 0.009 0.260 0.018

Summary:
DFT formation energy   -624 meV per atom
Spin magnetization   0.000 μB/atom

=====

How do the records compare in N(E_F)? In the order shown, they have 7.96; 4.72; 5.61 states/eV/f.u..